(1)
VASP calculation (PBE-GGA) on a geometry-optimized KRbCd2 structure.

Calculated values
electronic total energy: -3.4 eV per cell
distance to the lowest polymorph of the same formula: 172.7 meV per atom
spin magnetization: 0.00 μB/atom

a = 4.2619 Å, b = 4.2619 Å, c = 11.7324 Å
α = 79.54°, β = 79.54°, γ = 60.00°
Positions (direct):
1 K 0.0000 0.0000 0.0000
2 Rb 0.5000 0.5000 0.5000
3 Cd 0.2525 0.2525 0.2425
4 Cd 0.7475 0.7475 0.7575



(2)
VASP calculation (PBE-GGA) on a geometry-optimized Sc4Si6Ru7 structure.

Calculated values
energy relative to the elements, uncorrected: -0.7531 eV per atom
electronic total energy: -135.6 eV per cell
spin magnetization: 0.00 μB/atom

a = 6.9511 Å, b = 6.9511 Å, c = 6.9511 Å
α = 109.47°, β = 109.47°, γ = 109.47°
Positions (direct):
1 Sc 0.5000 0.0000 0.0000
2 Sc 0.5000 0.5000 0.5000
3 Sc 0.0000 0.5000 0.0000
4 Sc 0.0000 0.0000 0.5000
5 Si 0.6878 0.0000 0.6878
6 Si 0.6878 0.6878 0.0000
7 Si 0.0000 0.3122 0.3122
8 Si 0.3122 0.0000 0.3122
9 Si 0.3122 0.3122 0.0000
10 Si 0.0000 0.6878 0.6878
11 Ru 0.7500 0.5000 0.2500
12 Ru 0.2500 0.7500 0.5000
13 Ru 0.5000 0.7500 0.2500
14 Ru 0.7500 0.2500 0.5000
15 Ru 0.2500 0.5000 0.7500
16 Ru 0.5000 0.2500 0.7500
17 Ru 0.0000 0.0000 0.0000



(3)
VASP calculation (PBE-GGA) on a geometry-optimized CaPr3Y structure.

Calculated values
electronic total energy: -44.1 eV per cell
distance to the lowest polymorph of the same formula: 0.0 meV per atom
spin magnetization: 0.00 μB/atom

a = 6.3798 Å, b = 6.3798 Å, c = 11.5509 Å
α = 89.99°, β = 89.99°, γ = 128.05°
Positions (direct):
1 Ca 0.6560 0.3440 0.5000
2 Ca 0.3440 0.6560 0.5000
3 Pr 0.6521 0.3471 0.1933
4 Pr 0.0005 0.0005 0.6896
5 Pr 0.6529 0.3479 0.8067
6 Pr 0.3471 0.6521 0.1933
7 Pr 0.9995 0.9995 0.3104
8 Pr 0.3479 0.6529 0.8067
9 Y 0.8603 0.1397 0.0000
10 Y 0.1397 0.8603 0.0000



(4)
VASP calculation (PBE-GGA) on a geometry-optimized Nb2HPt2 structure.

Calculated values
electronic total energy: -33.0 eV per cell
distance to the lowest polymorph of the same formula: 684.8 meV per atom
spin magnetization: 0.00 μB/atom

a = 3.6821 Å, b = 3.6821 Å, c = 7.1200 Å
α = 75.01°, β = 75.01°, γ = 90.00°
Positions (direct):
1 H 0.0000 0.0000 0.0000
2 Nb 0.3989 0.3989 0.2021
3 Nb 0.6011 0.6011 0.7979
4 Pt 0.7500 0.2500 0.5000
5 Pt 0.2500 0.7500 0.5000



(5)
VASP calculation (PBE-GGA) on a geometry-optimized La3Sm2Y6Th structure.

Calculated values
electronic total energy: -70.2 eV per cell
spin magnetization: 0.00 μB/atom

a = 6.2940 Å, b = 6.2940 Å, c = 11.9085 Å
α = 95.06°, β = 95.06°, γ = 119.98°
Positions (direct):
1 La 0.1676 0.8324 0.5000
2 La 0.8324 0.1676 0.5000
3 La 0.5000 0.5000 0.5000
4 Sm 0.3333 0.6667 0.0000
5 Sm 0.6667 0.3333 0.0000
6 Y 0.9183 0.5884 0.7546
7 Y 0.7520 0.7520 0.2456
8 Y 0.0817 0.4116 0.2454
9 Y 0.5884 0.9183 0.7546
10 Y 0.2480 0.2480 0.7544
11 Y 0.4116 0.0817 0.2454
12 Th 0.0000 0.0000 0.0000



(6)
VASP calculation (PBE-GGA) on a geometry-optimized SbMoPt2 structure.

Calculated values
energy relative to the elements, uncorrected: -0.0066 eV per atom
electronic total energy: -27.1 eV per cell
spin magnetization: 0.00 μB/atom

a = 5.0039 Å, b = 5.0039 Å, c = 2.9877 Å
α = 90.00°, β = 90.00°, γ = 113.04°
Positions (direct):
1 Mo 0.0000 0.5000 0.5000
2 Pt 0.0000 0.0000 0.0000
3 Pt 0.5000 0.5000 0.0000
4 Sb 0.5000 0.0000 0.5000